! Y3Er2Tm2Ni2Se2 | OQMD via LeMat-Bulk | PBE | relaxed; values from VASP
&SYSTEM
  ibrav = 0, nat = 11, ntyp = 5
/
ATOMIC_SPECIES
Y 88.91 Y.upf
Er 167.26 Er.upf
Tm 168.93 Tm.upf
Ni 58.69 Ni.upf
Se 78.96 Se.upf
CELL_PARAMETERS angstrom
-1.897 7.511 4.633
1.897 -7.511 4.633
1.897 7.511 -4.633
ATOMIC_POSITIONS angstrom
Y 0.000 0.000 0.000
Y 0.000 5.389 2.384
Y 0.000 9.633 2.384
Er 1.897 5.618 -0.817
Er 0.000 1.893 3.816
Tm 1.897 2.750 1.083
Tm 0.000 4.761 5.716
Ni 1.897 -3.910 3.947
Ni 1.897 3.910 3.947
Se 1.897 0.000 2.392
Se 0.000 0.000 6.098
! space-group type	Imm2 (44)
! E	-0.2160	Ha/atom



! YEr4Tm2Ni2Se2 | OQMD via LeMat-Bulk | PBE | relaxed; values from VASP
&SYSTEM
  ibrav = 0, nat = 11, ntyp = 5
/
ATOMIC_SPECIES
Y 88.91 Y.upf
Er 167.26 Er.upf
Tm 168.93 Tm.upf
Ni 58.69 Ni.upf
Se 78.96 Se.upf
CELL_PARAMETERS angstrom
-1.885 7.463 4.624
1.885 -7.463 4.624
1.885 7.463 -4.624
ATOMIC_POSITIONS angstrom
Y 0.000 0.000 0.000
Er 1.885 5.590 -0.792
Er 0.000 1.873 3.832
Er 0.000 5.346 2.407
Er 0.000 9.581 2.407
Tm 1.885 2.732 1.100
Tm 0.000 4.731 5.724
Ni 1.885 -3.903 3.928
Ni 1.885 3.903 3.928
Se 1.885 0.000 2.399
Se 0.000 0.000 6.116
! space-group type	Imm2 (44)
! E	-0.2033	Ha/atom



! Y3Er4Ni2Se2 | OQMD via LeMat-Bulk | PBE | relaxed; values from VASP
&SYSTEM
  ibrav = 0, nat = 11, ntyp = 4
/
ATOMIC_SPECIES
Y 88.91 Y.upf
Er 167.26 Er.upf
Ni 58.69 Ni.upf
Se 78.96 Se.upf
CELL_PARAMETERS angstrom
-1.900 7.551 4.630
1.900 -7.551 4.630
1.900 7.551 -4.630
ATOMIC_POSITIONS angstrom
Y 0.000 0.000 0.000
Y 0.000 5.431 2.372
Y 0.000 9.670 2.372
Er 1.900 5.660 -0.827
Er 1.900 2.774 1.069
Er 0.000 1.891 3.804
Er 0.000 4.777 5.699
Ni 1.900 -3.923 3.927
Ni 1.900 3.923 3.927
Se 1.900 0.000 2.383
Se 0.000 0.000 6.089
! space-group type	Imm2 (44)
! E	-0.2165	Ha/atom



! YEr6Ni2Se2 | OQMD via LeMat-Bulk | PBE | relaxed; values from VASP
&SYSTEM
  ibrav = 0, nat = 11, ntyp = 4
/
ATOMIC_SPECIES
Y 88.91 Y.upf
Er 167.26 Er.upf
Ni 58.69 Ni.upf
Se 78.96 Se.upf
CELL_PARAMETERS angstrom
-1.886 7.491 4.624
1.886 -7.491 4.624
1.886 7.491 -4.624
ATOMIC_POSITIONS angstrom
Y 0.000 0.000 0.000
Er 1.886 5.615 -0.797
Er 1.886 2.748 1.093
Er 0.000 1.876 3.827
Er 0.000 5.375 2.402
Er 0.000 9.607 2.402
Er 0.000 4.743 5.716
Ni 1.886 -3.915 3.919
Ni 1.886 3.915 3.919
Se 1.886 0.000 2.397
Se 0.000 0.000 6.112
! space-group type	Imm2 (44)
! E	-0.2038	Ha/atom



! ErSiNi2 | OQMD via LeMat-Bulk | PBE | relaxed; values from VASP
&SYSTEM
  ibrav = 0, nat = 8, ntyp = 3
/
ATOMIC_SPECIES
Er 167.26 Er.upf
Si 28.09 Si.upf
Ni 58.69 Ni.upf
CELL_PARAMETERS angstrom
4.224 0.000 0.000
0.000 4.411 0.000
0.000 0.000 6.804
ATOMIC_POSITIONS angstrom
Er 0.000 0.277 0.000
Er 0.000 4.133 3.402
Si 2.112 1.312 4.594
Si 2.112 3.099 1.192
Ni 0.000 2.170 5.072
Ni 0.000 2.241 1.670
Ni 2.112 0.962 2.119
Ni 2.112 3.449 5.521
! space-group type	Pmc2_1 (26)
! E	-0.2125	Ha/atom



! Er2SiNi | OQMD via LeMat-Bulk | PBE | relaxed; values from VASP
&SYSTEM
  ibrav = 0, nat = 8, ntyp = 3
/
ATOMIC_SPECIES
Er 167.26 Er.upf
Si 28.09 Si.upf
Ni 58.69 Ni.upf
CELL_PARAMETERS angstrom
5.545 0.000 0.000
0.000 3.822 0.000
-0.160 0.000 7.715
ATOMIC_POSITIONS angstrom
Er 0.650 0.955 1.500
Er 1.981 0.955 5.150
Er 3.405 2.866 2.565
Er 4.736 2.866 6.215
Si 1.896 2.866 7.432
Si 3.489 0.955 0.283
Ni 0.610 2.866 3.595
Ni 4.775 0.955 4.121
! space-group type	P2_1/m (11)
! energy above the most stable polymorph in this dataset	35	meV/atom



! Er3Si3Ni | OQMD via LeMat-Bulk | PBE | relaxed; values from VASP
&SYSTEM
  ibrav = 0, nat = 14, ntyp = 3
/
ATOMIC_SPECIES
Er 167.26 Er.upf
Si 28.09 Si.upf
Ni 58.69 Ni.upf
CELL_PARAMETERS angstrom
5.130 -2.080 0.000
5.130 2.080 0.000
-4.708 0.000 12.582
ATOMIC_POSITIONS angstrom
Er -1.480 0.000 4.785
Er -3.288 0.000 11.593
Er 1.464 0.000 2.864
Er 4.088 0.000 9.718
Er 8.841 0.000 0.990
Er 7.032 0.000 7.797
Si 1.587 0.000 5.746
Si -0.388 0.000 11.626
Si 1.067 0.000 9.613
Si 4.486 0.000 2.969
Si 5.940 0.000 0.957
Si 3.965 0.000 6.836
Ni -0.222 0.000 7.517
Ni 5.774 0.000 5.065
! space-group type	C2/m (12)
! E	-0.2172	Ha/atom



! Er6SiNi2 | OQMD via LeMat-Bulk | PBE | relaxed; values from VASP
&SYSTEM
  ibrav = 0, nat = 9, ntyp = 3
/
ATOMIC_SPECIES
Er 167.26 Er.upf
Si 28.09 Si.upf
Ni 58.69 Ni.upf
CELL_PARAMETERS angstrom
7.502 0.000 0.000
-3.751 6.497 0.000
0.000 0.000 4.268
ATOMIC_POSITIONS angstrom
Er -1.014 1.756 0.000
Er -2.253 3.902 2.134
Er 2.028 0.000 0.000
Er 1.498 2.595 2.134
Er 4.505 0.000 2.134
Er 2.737 4.741 0.000
Si 0.000 0.000 2.134
Ni 0.000 4.331 0.000
Ni 3.751 2.166 0.000
! space-group type	P-62m (189)
! E	-0.1910	Ha/atom



! Er2SiNi | OQMD via LeMat-Bulk | PBE | relaxed; values from VASP
&SYSTEM
  ibrav = 0, nat = 8, ntyp = 3
/
ATOMIC_SPECIES
Er 167.26 Er.upf
Si 28.09 Si.upf
Ni 58.69 Ni.upf
CELL_PARAMETERS angstrom
4.096 0.000 0.000
0.000 5.551 0.000
0.000 0.000 7.237
ATOMIC_POSITIONS angstrom
Er 0.000 0.609 0.000
Er 0.000 4.942 3.619
Er 2.048 2.124 4.647
Er 2.048 3.426 1.028
Si 0.000 2.058 2.582
Si 0.000 3.493 6.200
Ni 2.048 0.716 2.090
Ni 2.048 4.835 5.709
! space-group type	Pmc2_1 (26)
! energy above the most stable polymorph in this dataset	0	meV/atom



! Er4Si3Ni | OQMD via LeMat-Bulk | PBE | relaxed; values from VASP
&SYSTEM
  ibrav = 0, nat = 8, ntyp = 3
/
ATOMIC_SPECIES
Er 167.26 Er.upf
Si 28.09 Si.upf
Ni 58.69 Ni.upf
CELL_PARAMETERS angstrom
5.657 0.000 0.000
0.000 3.843 0.000
-0.143 0.000 7.662
ATOMIC_POSITIONS angstrom
Er 0.000 0.000 0.000
Er 1.321 1.921 2.882
Er 2.652 1.921 6.448
Er 4.088 0.000 3.876
Si 2.753 0.000 1.052
Si 4.190 1.921 1.655
Si 5.525 1.921 5.494
Ni 1.232 0.000 4.949
! space-group type	Pm (6)
! E	-0.2111	Ha/atom



! ErSi3Ni5 | OQMD via LeMat-Bulk | PBE | relaxed; values from VASP
&SYSTEM
  ibrav = 0, nat = 36, ntyp = 3
/
ATOMIC_SPECIES
Er 167.26 Er.upf
Si 28.09 Si.upf
Ni 58.69 Ni.upf
CELL_PARAMETERS angstrom
18.648 0.000 0.000
0.000 3.773 0.000
0.000 0.000 6.601
ATOMIC_POSITIONS angstrom
Er 2.693 0.943 0.808
Er 6.630 2.830 4.109
Er 12.017 0.943 2.492
Er 15.954 2.830 5.793
Si 1.408 2.830 5.583
Si 1.593 2.830 2.734
Si 4.427 0.943 4.099
Si 4.897 2.830 0.799
Si 7.731 0.943 6.034
Si 7.916 0.943 2.283
Si 10.731 2.830 4.318
Si 10.917 2.830 0.567
Si 13.751 0.943 5.802
Si 14.220 2.830 2.502
Si 17.054 0.943 3.867
Si 17.240 0.943 1.017
Ni 0.094 2.830 0.868
Ni 0.267 0.943 2.524
Ni 2.140 0.943 4.241
Ni 3.725 2.830 5.380
Ni 3.842 2.830 2.834
Ni 5.482 0.943 6.135
Ni 5.599 0.943 2.080
Ni 7.184 2.830 0.940
Ni 9.057 2.830 5.824
Ni 9.230 0.943 4.168
Ni 9.417 2.830 2.433
Ni 9.591 0.943 0.776
Ni 11.463 0.943 5.661
Ni 13.049 2.830 4.521
Ni 13.166 2.830 0.466
Ni 14.806 0.943 3.766
Ni 14.923 0.943 1.221
Ni 16.508 2.830 2.360
Ni 18.381 2.830 4.077
Ni 18.554 0.943 5.733
! space-group type	Pnma (62)
! E	-0.2255	Ha/atom



! ErSi2Ni4 | OQMD via LeMat-Bulk | PBE | relaxed; values from VASP
&SYSTEM
  ibrav = 0, nat = 14, ntyp = 3
/
ATOMIC_SPECIES
Er 167.26 Er.upf
Si 28.09 Si.upf
Ni 58.69 Ni.upf
CELL_PARAMETERS angstrom
7.192 0.000 0.000
0.000 7.192 0.000
0.000 0.000 3.626
ATOMIC_POSITIONS angstrom
Er 0.000 0.000 0.000
Er 3.596 3.596 1.813
Si 1.598 1.598 1.813
Si 1.998 5.194 0.000
Si 5.194 1.998 0.000
Si 5.594 5.594 1.813
Ni 0.600 4.772 1.813
Ni 1.176 2.996 0.000
Ni 2.420 6.592 1.813
Ni 2.996 1.176 0.000
Ni 4.196 6.016 0.000
Ni 4.772 0.600 1.813
Ni 6.016 4.196 0.000
Ni 6.592 2.420 1.813
! space-group type	P4_2/mnm (136)
! E	-0.2228	Ha/atom



! ErSiNi2 | OQMD via LeMat-Bulk | PBE | relaxed; values from VASP
&SYSTEM
  ibrav = 0, nat = 8, ntyp = 3
/
ATOMIC_SPECIES
Er 167.26 Er.upf
Si 28.09 Si.upf
Ni 58.69 Ni.upf
CELL_PARAMETERS angstrom
5.047 0.000 0.000
0.000 3.985 0.000
-1.894 0.000 6.158
ATOMIC_POSITIONS angstrom
Er 0.765 0.996 1.525
Er 2.387 2.988 4.633
Si -0.136 0.996 4.605
Si 3.289 2.988 1.553
Ni -0.245 2.988 3.362
Ni -0.045 2.988 5.850
Ni 3.198 0.996 0.308
Ni 3.398 0.996 2.796
! space-group type	P2_1/m (11)
! E	-0.2195	Ha/atom



! Er3Si2Ni6 | OQMD via LeMat-Bulk | PBE | relaxed; values from VASP
&SYSTEM
  ibrav = 0, nat = 22, ntyp = 3
/
ATOMIC_SPECIES
Er 167.26 Er.upf
Si 28.09 Si.upf
Ni 58.69 Ni.upf
CELL_PARAMETERS angstrom
-4.355 4.355 4.355
4.355 -4.355 4.355
4.355 4.355 -4.355
ATOMIC_POSITIONS angstrom
Er 2.481 0.000 0.000
Er 6.229 0.000 0.000
Er 0.000 2.481 0.000
Er 0.000 0.000 2.481
Er 0.000 6.229 0.000
Er 0.000 0.000 6.229
Si 2.178 2.178 -2.178
Si 2.178 -2.178 2.178
Si -2.178 2.178 2.178
Si 2.178 2.178 2.178
Ni 4.355 1.475 -1.475
Ni 4.355 -1.475 1.475
Ni 1.475 4.355 -1.475
Ni 2.880 2.880 0.000
Ni 2.880 0.000 2.880
Ni 1.475 -1.475 4.355
Ni 4.355 1.475 1.475
Ni 0.000 2.880 2.880
Ni -1.475 4.355 1.475
Ni -1.475 1.475 4.355
Ni 1.475 4.355 1.475
Ni 1.475 1.475 4.355
! space-group type	Im-3m (229)
! E	-0.2188	Ha/atom



! ErSi4Ni3 | OQMD via LeMat-Bulk | PBE | relaxed; values from VASP
&SYSTEM
  ibrav = 0, nat = 8, ntyp = 3
/
ATOMIC_SPECIES
Er 167.26 Er.upf
Si 28.09 Si.upf
Ni 58.69 Ni.upf
CELL_PARAMETERS angstrom
3.912 0.000 0.000
0.000 3.919 0.000
-0.303 0.000 7.337
ATOMIC_POSITIONS angstrom
Er 0.000 0.000 0.000
Si -0.020 1.960 2.378
Si 1.586 1.960 6.202
Si 2.025 0.000 2.290
Si 2.054 0.000 4.799
Ni 0.122 0.000 3.538
Ni 1.932 1.960 1.120
Ni 3.504 1.960 4.967
! space-group type	Pm (6)
! E	-0.2191	Ha/atom



! ErSi4Ni6 | OQMD via LeMat-Bulk | PBE | relaxed; values from VASP
&SYSTEM
  ibrav = 0, nat = 11, ntyp = 3
/
ATOMIC_SPECIES
Er 167.26 Er.upf
Si 28.09 Si.upf
Ni 58.69 Ni.upf
CELL_PARAMETERS angstrom
6.602 0.000 0.000
-3.301 5.717 0.000
0.000 0.000 3.673
ATOMIC_POSITIONS angstrom
Er 0.000 0.000 0.000
Si 0.000 3.811 0.000
Si 1.936 1.118 1.836
Si 4.666 1.118 1.836
Si 3.301 3.482 1.836
Ni 0.000 2.330 1.836
Ni -1.283 4.552 1.836
Ni 3.301 0.403 0.000
Ni 1.999 2.657 0.000
Ni 1.283 4.552 1.836
Ni 4.602 2.657 0.000
! space-group type	P-6m2 (187)
! E	-0.2250	Ha/atom



! ErSiNi2 | OQMD via LeMat-Bulk | PBE | relaxed; values from VASP
&SYSTEM
  ibrav = 0, nat = 8, ntyp = 3
/
ATOMIC_SPECIES
Er 167.26 Er.upf
Si 28.09 Si.upf
Ni 58.69 Ni.upf
CELL_PARAMETERS angstrom
3.940 0.000 0.000
0.000 5.782 0.000
0.000 0.000 5.340
ATOMIC_POSITIONS angstrom
Er 0.000 0.543 0.000
Er 1.970 5.239 2.670
Si 0.000 3.514 1.143
Si 1.970 2.268 3.813
Ni 0.000 1.648 2.658
Ni 0.000 3.688 3.954
Ni 1.970 2.094 1.284
Ni 1.970 4.134 5.328
! space-group type	Pmn2_1 (31)
! E	-0.2170	Ha/atom



! Er2SiNi | OQMD via LeMat-Bulk | PBE | relaxed; values from VASP
&SYSTEM
  ibrav = 0, nat = 8, ntyp = 3
/
ATOMIC_SPECIES
Er 167.26 Er.upf
Si 28.09 Si.upf
Ni 58.69 Ni.upf
CELL_PARAMETERS angstrom
4.088 0.000 0.000
0.000 7.179 0.000
0.000 0.000 5.573
ATOMIC_POSITIONS angstrom
Er 0.000 0.424 0.000
Er 0.000 4.205 1.301
Er 2.044 2.974 4.087
Er 2.044 6.755 2.787
Si 0.000 5.081 4.090
Si 2.044 2.097 1.304
Ni 0.000 1.580 2.660
Ni 2.044 5.599 5.446
! space-group type	Pmn2_1 (31)
! energy above the most stable polymorph in this dataset	3	meV/atom



! Er2SiNi6 | OQMD via LeMat-Bulk | PBE | relaxed; values from VASP
&SYSTEM
  ibrav = 0, nat = 9, ntyp = 3
/
ATOMIC_SPECIES
Er 167.26 Er.upf
Si 28.09 Si.upf
Ni 58.69 Ni.upf
CELL_PARAMETERS angstrom
6.952 0.000 0.000
-3.476 6.021 0.000
0.000 0.000 3.144
ATOMIC_POSITIONS angstrom
Er 0.000 4.014 0.000
Er 3.476 2.007 0.000
Si 0.000 0.000 1.572
Ni -0.830 1.437 0.000
Ni -2.291 3.967 1.572
Ni 1.659 0.000 0.000
Ni 1.185 2.053 1.572
Ni 4.581 0.000 1.572
Ni 2.646 4.584 0.000
! space-group type	P-62m (189)
! E	-0.2040	Ha/atom



! Er4TlSi4Ni2 | OQMD via LeMat-Bulk | PBE | relaxed; values from VASP
&SYSTEM
  ibrav = 0, nat = 11, ntyp = 4
/
ATOMIC_SPECIES
Er 167.26 Er.upf
Tl 204.38 Tl.upf
Si 28.09 Si.upf
Ni 58.69 Ni.upf
CELL_PARAMETERS angstrom
7.620 -2.077 0.000
7.620 2.077 0.000
-2.225 0.000 6.544
ATOMIC_POSITIONS angstrom
Er 0.503 0.000 2.527
Er 0.284 0.000 6.136
Er 12.731 0.000 0.408
Er 12.512 0.000 4.017
Tl 7.620 0.000 0.000
Si 2.834 0.000 4.699
Si 5.863 0.000 2.271
Si 7.153 0.000 4.274
Si 10.181 0.000 1.845
Ni 3.547 0.000 2.341
Ni 9.468 0.000 4.203
! space-group type	C2/m (12)
! E	-0.2061	Ha/atom